1.
An optimized crystal structure of BeCoPS2. Source: Alexandria, functional PBE.

The structure in CIF format:
```
data_BeCoPS2
_chemical_formula_sum 'Be1 Co1 P1 S2'
_symmetry_space_group_name_H-M 'P 4/m m m'
_symmetry_Int_Tables_number 123
_symmetry_space_group_name_Hall '-P 4 2'
_cell_length_a 4.376
_cell_length_b 4.376
_cell_length_c 4.041
_cell_angle_alpha 90.00
_cell_angle_beta 90.00
_cell_angle_gamma 90.00
loop_
_atom_site_label
_atom_site_type_symbol
_atom_site_fract_x
_atom_site_fract_y
_atom_site_fract_z
Be1 Be 0.000 0.000 0.000
Co1 Co 0.500 0.500 0.500
P1 P 0.000 0.000 0.500
S1 S 0.000 0.500 0.000
```

Calculated values
formation energy from raw total energies: 777 meV/atom



2.
An optimized crystal structure of BeCoTcP. Source: Alexandria, functional PBE.

The structure in CIF format:
```
data_BeCoTcP
_chemical_formula_sum 'Be4 Co4 Tc4 P4'
_symmetry_space_group_name_H-M 'F -4 3 m'
_symmetry_Int_Tables_number 216
_symmetry_space_group_name_Hall 'F -4 2 3'
_cell_length_a 5.548
_cell_length_b 5.548
_cell_length_c 5.548
_cell_angle_alpha 90.00
_cell_angle_beta 90.00
_cell_angle_gamma 90.00
loop_
_atom_site_label
_atom_site_type_symbol
_atom_site_fract_x
_atom_site_fract_y
_atom_site_fract_z
Be1 Be 0.000 0.000 0.000
Co1 Co 0.250 0.250 0.750
Tc1 Tc 0.250 0.250 0.250
P1 P 0.000 0.000 0.500
```

Calculated values
energy of formation from the pure elements: -353 meV per atom



3.
An optimized crystal structure of BeCoTe2P. Source: Alexandria, functional PBE.

The structure in CIF format:
```
data_BeCoTe2P
_chemical_formula_sum 'Be1 Co1 Te2 P1'
_symmetry_space_group_name_H-M 'P 4/m m m'
_symmetry_Int_Tables_number 123
_symmetry_space_group_name_Hall '-P 4 2'
_cell_length_a 4.931
_cell_length_b 4.931
_cell_length_c 4.001
_cell_angle_alpha 90.00
_cell_angle_beta 90.00
_cell_angle_gamma 90.00
loop_
_atom_site_label
_atom_site_type_symbol
_atom_site_fract_x
_atom_site_fract_y
_atom_site_fract_z
Be1 Be 0.000 0.000 0.000
Co1 Co 0.000 0.000 0.500
Te1 Te 0.000 0.500 0.000
P1 P 0.500 0.500 0.500
```

Calculated values
formation energy from raw total energies: 862 meV/atom



4.
An optimized crystal structure of Th2BeCo4P3. Source: Alexandria, functional PBE.

The structure in CIF format:
```
data_Th2BeCo4P3
_chemical_formula_sum 'Th2 Be1 Co4 P3'
_symmetry_space_group_name_H-M 'P -4 m 2'
_symmetry_Int_Tables_number 115
_symmetry_space_group_name_Hall 'P -4 -2'
_cell_length_a 3.955
_cell_length_b 3.955
_cell_length_c 9.252
_cell_angle_alpha 90.00
_cell_angle_beta 90.00
_cell_angle_gamma 90.00
loop_
_atom_site_label
_atom_site_type_symbol
_atom_site_fract_x
_atom_site_fract_y
_atom_site_fract_z
Th1 Th 0.000 0.500 0.247
Be1 Be 0.500 0.500 0.000
Co1 Co 0.000 0.000 0.500
Co2 Co 0.000 0.500 0.884
Co3 Co 0.500 0.500 0.500
P1 P 0.000 0.000 0.000
P2 P 0.000 0.500 0.632
```

Calculated values
energy of formation from the pure elements: -916 meV per atom



5.
An optimized crystal structure of Y2BeCoP. Source: Alexandria, functional PBE.

The structure in CIF format:
```
data_Y2BeCoP
_chemical_formula_sum 'Y2 Be1 Co1 P1'
_symmetry_space_group_name_H-M 'P 4/m m m'
_symmetry_Int_Tables_number 123
_symmetry_space_group_name_Hall '-P 4 2'
_cell_length_a 5.029
_cell_length_b 5.029
_cell_length_c 4.005
_cell_angle_alpha 90.00
_cell_angle_beta 90.00
_cell_angle_gamma 90.00
loop_
_atom_site_label
_atom_site_type_symbol
_atom_site_fract_x
_atom_site_fract_y
_atom_site_fract_z
Y1 Y 0.000 0.500 0.000
Be1 Be 0.000 0.000 0.500
Co1 Co 0.000 0.000 0.000
P1 P 0.500 0.500 0.500
```

Calculated values
energy of formation from the pure elements: -197 meV per atom



6.
An optimized crystal structure of YBeCoP2. Source: Alexandria, functional PBE.

The structure in CIF format:
```
data_YBeCoP2
_chemical_formula_sum 'Y1 Be1 Co1 P2'
_symmetry_space_group_name_H-M 'P 4/m m m'
_symmetry_Int_Tables_number 123
_symmetry_space_group_name_Hall '-P 4 2'
_cell_length_a 4.484
_cell_length_b 4.484
_cell_length_c 3.952
_cell_angle_alpha 90.00
_cell_angle_beta 90.00
_cell_angle_gamma 90.00
loop_
_atom_site_label
_atom_site_type_symbol
_atom_site_fract_x
_atom_site_fract_y
_atom_site_fract_z
Y1 Y 0.000 0.000 0.000
Be1 Be 0.500 0.500 0.000
Co1 Co 0.500 0.500 0.500
P1 P 0.000 0.500 0.500
```

Calculated values
energy of formation from the pure elements: -250 meV per atom



7.
An optimized crystal structure of YBeCoP2. Source: Alexandria, functional PBE.

The structure in CIF format:
```
data_YBeCoP2
_chemical_formula_sum 'Y1 Be1 Co1 P2'
_symmetry_space_group_name_H-M 'P 4/m m m'
_symmetry_Int_Tables_number 123
_symmetry_space_group_name_Hall '-P 4 2'
_cell_length_a 5.174
_cell_length_b 5.174
_cell_length_c 4.935
_cell_angle_alpha 90.00
_cell_angle_beta 90.00
_cell_angle_gamma 90.00
loop_
_atom_site_label
_atom_site_type_symbol
_atom_site_fract_x
_atom_site_fract_y
_atom_site_fract_z
Y1 Y 0.000 0.000 0.000
Be1 Be 0.500 0.500 0.500
Co1 Co 0.000 0.000 0.500
P1 P 0.000 0.500 0.000
```

Calculated values
energy of formation from the pure elements: 1539 meV per atom



8.
An optimized crystal structure of PaBeCo2. Source: Alexandria, functional PBE.

The structure in CIF format:
```
data_PaBeCo2
_chemical_formula_sum 'Pa3 Be3 Co6'
_symmetry_space_group_name_H-M 'R -3 m'
_symmetry_Int_Tables_number 166
_symmetry_space_group_name_Hall '-R 3 2"'
_cell_length_a 3.7112
_cell_length_b 3.7112
_cell_length_c 13.8540
_cell_angle_alpha 90.00
_cell_angle_beta 90.00
_cell_angle_gamma 120.00
loop_
_atom_site_label
_atom_site_type_symbol
_atom_site_fract_x
_atom_site_fract_y
_atom_site_fract_z
Pa1 Pa 0.0000 0.0000 0.0000
Be1 Be 0.0000 0.0000 0.5000
Co1 Co 0.0000 0.0000 0.2170
```

Calculated values
energy of formation from the pure elements: -326 meV per atom



9.
An optimized crystal structure of Pa3Be2Co4. Source: Alexandria, functional PBE.

The structure in CIF format:
```
data_Pa3Be2Co4
_chemical_formula_sum 'Pa6 Be4 Co8'
_symmetry_space_group_name_H-M 'C 1 2/m 1'
_symmetry_Int_Tables_number 12
_symmetry_space_group_name_Hall '-C 2y'
_cell_length_a 8.977
_cell_length_b 3.984
_cell_length_c 7.766
_cell_angle_alpha 90.00
_cell_angle_beta 94.64
_cell_angle_gamma 90.00
loop_
_atom_site_label
_atom_site_type_symbol
_atom_site_fract_x
_atom_site_fract_y
_atom_site_fract_z
Pa1 Pa 0.000 0.000 0.000
Pa2 Pa 0.120 0.500 0.384
Be1 Be 0.185 0.500 0.792
Co1 Co 0.097 0.000 0.646
Co2 Co 0.218 0.500 0.090
```

Calculated values
energy of formation from the pure elements: -321 meV per atom



10.
An optimized crystal structure of Pa3Be2Co6. Source: Alexandria, functional PBE.

The structure in CIF format:
```
data_Pa3Be2Co6
_chemical_formula_sum 'Pa12 Be8 Co24'
_symmetry_space_group_name_H-M 'I m -3 m'
_symmetry_Int_Tables_number 229
_symmetry_space_group_name_Hall '-I 4 2 3'
_cell_length_a 8.493
_cell_length_b 8.493
_cell_length_c 8.493
_cell_angle_alpha 90.00
_cell_angle_beta 90.00
_cell_angle_gamma 90.00
loop_
_atom_site_label
_atom_site_type_symbol
_atom_site_fract_x
_atom_site_fract_y
_atom_site_fract_z
Pa1 Pa 0.000 0.000 0.280
Be1 Be 0.250 0.250 0.250
Co1 Co 0.000 0.347 0.347
```

Calculated values
energy of formation from the pure elements: -328 meV per atom



11.
An optimized crystal structure of PaBeCo2. Source: Alexandria, functional PBE.

The structure in CIF format:
```
data_PaBeCo2
_chemical_formula_sum 'Pa2 Be2 Co4'
_symmetry_space_group_name_H-M 'P m m n'
_symmetry_Int_Tables_number 59
_cell_length_a 3.800
_cell_length_b 5.431
_cell_length_c 5.374
_cell_angle_alpha 90.00
_cell_angle_beta 90.00
_cell_angle_gamma 90.00
loop_
_symmetry_equiv_pos_as_xyz
'x,y,z'
'-x,-y,-z'
'-x+1/2,-y+1/2,z'
'x+1/2,y+1/2,-z'
'x+1/2,-y,-z'
'-x+1/2,y,z'
'-x,y+1/2,-z'
'x,-y+1/2,z'
loop_
_atom_site_label
_atom_site_type_symbol
_atom_site_fract_x
_atom_site_fract_y
_atom_site_fract_z
Pa1 Pa 0.250 0.250 0.138
Be1 Be 0.250 0.750 0.344
Co1 Co 0.250 0.017 0.665
```

Calculated values
energy of formation from the pure elements: -315 meV per atom



12.
An optimized crystal structure of Pa2BeCo. Source: Alexandria, functional PBE.

The structure in CIF format:
```
data_Pa2BeCo
_chemical_formula_sum 'Pa6 Be3 Co3'
_symmetry_space_group_name_H-M 'R -3 m'
_symmetry_Int_Tables_number 166
_symmetry_space_group_name_Hall '-R 3 2"'
_cell_length_a 3.4956
_cell_length_b 3.4956
_cell_length_c 22.3487
_cell_angle_alpha 90.00
_cell_angle_beta 90.00
_cell_angle_gamma 120.00
loop_
_atom_site_label
_atom_site_type_symbol
_atom_site_fract_x
_atom_site_fract_y
_atom_site_fract_z
Pa1 Pa 0.0000 0.0000 0.2441
Be1 Be 0.0000 0.0000 0.0000
Co1 Co 0.0000 0.0000 0.5000
```

Calculated values
energy of formation from the pure elements: 191 meV per atom



13.
An optimized crystal structure of PaBeCo2. Source: Alexandria, functional PBE.

The structure in CIF format:
```
data_PaBeCo2
_chemical_formula_sum 'Pa4 Be4 Co8'
_symmetry_space_group_name_H-M 'F m -3 m'
_symmetry_Int_Tables_number 225
_symmetry_space_group_name_Hall '-F 4 2 3'
_cell_length_a 6.129
_cell_length_b 6.129
_cell_length_c 6.129
_cell_angle_alpha 90.00
_cell_angle_beta 90.00
_cell_angle_gamma 90.00
loop_
_atom_site_label
_atom_site_type_symbol
_atom_site_fract_x
_atom_site_fract_y
_atom_site_fract_z
Pa1 Pa 0.000 0.000 0.000
Be1 Be 0.000 0.000 0.500
Co1 Co 0.250 0.250 0.250
```

Calculated values
energy of formation from the pure elements: -51 meV per atom



14.
An optimized crystal structure of Pa2BeCo2. Source: Alexandria, functional PBE.

The structure in CIF format:
```
data_Pa2BeCo2
_chemical_formula_sum 'Pa4 Be2 Co4'
_symmetry_space_group_name_H-M 'P 4/m b m'
_symmetry_Int_Tables_number 127
_symmetry_space_group_name_Hall '-P 4 2ab'
_cell_length_a 6.919
_cell_length_b 6.919
_cell_length_c 3.533
_cell_angle_alpha 90.00
_cell_angle_beta 90.00
_cell_angle_gamma 90.00
loop_
_atom_site_label
_atom_site_type_symbol
_atom_site_fract_x
_atom_site_fract_y
_atom_site_fract_z
Pa1 Pa 0.178 0.322 0.000
Be1 Be 0.000 0.000 0.500
Co1 Co 0.136 0.636 0.500
```

Calculated values
energy of formation from the pure elements: -251 meV per atom



15.
An optimized crystal structure of Pa2Be6Co9. Source: Alexandria, functional PBE.

The structure in CIF format:
```
data_Pa2Be6Co9
_chemical_formula_sum 'Pa2 Be6 Co9'
_symmetry_space_group_name_H-M 'P 6/m m m'
_symmetry_Int_Tables_number 191
_symmetry_space_group_name_Hall '-P 6 2'
_cell_length_a 4.9717
_cell_length_b 4.9717
_cell_length_c 9.7953
_cell_angle_alpha 90.00
_cell_angle_beta 90.00
_cell_angle_gamma 120.00
loop_
_atom_site_label
_atom_site_type_symbol
_atom_site_fract_x
_atom_site_fract_y
_atom_site_fract_z
Pa1 Pa 0.0000 0.0000 0.2141
Be1 Be 0.3333 0.6667 0.1654
Be2 Be 0.3333 0.6667 0.5000
Co1 Co 0.0000 0.5000 0.0000
Co2 Co 0.0000 0.5000 0.3327
```

Calculated values
energy of formation from the pure elements: -107 meV per atom



16.
An optimized crystal structure of PaBeCo4. Source: Alexandria, functional PBE.

The structure in CIF format:
```
data_PaBeCo4
_chemical_formula_sum 'Pa2 Be2 Co8'
_symmetry_space_group_name_H-M 'P m m a'
_symmetry_Int_Tables_number 51
_symmetry_space_group_name_Hall '-P 2a 2a'
_cell_length_a 6.460
_cell_length_b 3.568
_cell_length_c 6.505
_cell_angle_alpha 90.00
_cell_angle_beta 90.00
_cell_angle_gamma 90.00
loop_
_atom_site_label
_atom_site_type_symbol
_atom_site_fract_x
_atom_site_fract_y
_atom_site_fract_z
Pa1 Pa 0.250 0.000 0.144
Be1 Be 0.250 0.000 0.715
Co1 Co 0.000 0.000 0.500
Co2 Co 0.046 0.500 0.803
Co3 Co 0.250 0.500 0.482
```

Calculated values
energy of formation from the pure elements: -194 meV per atom



17.
An optimized crystal structure of PaBeCo2. Source: Alexandria, functional PBE.

The structure in CIF format:
```
data_PaBeCo2
_chemical_formula_sum 'Pa1 Be1 Co2'
_symmetry_space_group_name_H-M 'P 4/m m m'
_symmetry_Int_Tables_number 123
_symmetry_space_group_name_Hall '-P 4 2'
_cell_length_a 4.087
_cell_length_b 4.087
_cell_length_c 3.366
_cell_angle_alpha 90.00
_cell_angle_beta 90.00
_cell_angle_gamma 90.00
loop_
_atom_site_label
_atom_site_type_symbol
_atom_site_fract_x
_atom_site_fract_y
_atom_site_fract_z
Pa1 Pa 0.000 0.000 0.000
Be1 Be 0.500 0.500 0.000
Co1 Co 0.000 0.500 0.500
```

Calculated values
energy of formation from the pure elements: -65 meV per atom



18.
An optimized crystal structure of PaBeCo2. Source: Alexandria, functional PBE.

The structure in CIF format:
```
data_PaBeCo2
_chemical_formula_sum 'Pa1 Be1 Co2'
_symmetry_space_group_name_H-M 'P 1 2/m 1'
_symmetry_Int_Tables_number 10
_symmetry_space_group_name_Hall '-P 2y'
_cell_length_a 4.065
_cell_length_b 3.445
_cell_length_c 4.100
_cell_angle_alpha 90.00
_cell_angle_beta 97.74
_cell_angle_gamma 90.00
loop_
_atom_site_label
_atom_site_type_symbol
_atom_site_fract_x
_atom_site_fract_y
_atom_site_fract_z
Pa1 Pa 0.000 0.000 0.000
Be1 Be 0.500 0.000 0.500
Co1 Co 0.292 0.500 0.706
```

Calculated values
energy of formation from the pure elements: -50 meV per atom



19.
An optimized crystal structure of PaBe2Co2. Source: Alexandria, functional PBE.

The structure in CIF format:
```
data_PaBe2Co2
_chemical_formula_sum 'Pa8 Be16 Co16'
_symmetry_space_group_name_H-M 'F d d d'
_symmetry_Int_Tables_number 70
_cell_length_a 4.511
_cell_length_b 9.496
_cell_length_c 12.196
_cell_angle_alpha 90.00
_cell_angle_beta 90.00
_cell_angle_gamma 90.00
loop_
_symmetry_equiv_pos_as_xyz
'x,y,z'
'-x,-y,-z'
'-x+1/4,-y+1/4,z'
'x+1/4,y+1/4,-z'
'x,-y+1/4,-z+1/4'
'-x,y+1/4,z+1/4'
'-x+1/4,y,-z+1/4'
'x+1/4,-y,z+1/4'
'x,y+1/2,z+1/2'
'-x,-y+1/2,-z+1/2'
'-x+1/4,-y+3/4,z+1/2'
'x+1/4,y+3/4,-z+1/2'
'x,-y+3/4,-z+3/4'
'-x,y+3/4,z+3/4'
'-x+1/4,y+1/2,-z+3/4'
'x+1/4,-y+1/2,z+3/4'
'x+1/2,y,z+1/2'
'-x+1/2,-y,-z+1/2'
'-x+3/4,-y+1/4,z+1/2'
'x+3/4,y+1/4,-z+1/2'
'x+1/2,-y+1/4,-z+3/4'
'-x+1/2,y+1/4,z+3/4'
'-x+3/4,y,-z+3/4'
'x+3/4,-y,z+3/4'
'x+1/2,y+1/2,z'
'-x+1/2,-y+1/2,-z'
'-x+3/4,-y+3/4,z'
'x+3/4,y+3/4,-z'
'x+1/2,-y+3/4,-z+1/4'
'-x+1/2,y+3/4,z+1/4'
'-x+3/4,y+1/2,-z+1/4'
'x+3/4,-y+1/2,z+1/4'
loop_
_atom_site_label
_atom_site_type_symbol
_atom_site_fract_x
_atom_site_fract_y
_atom_site_fract_z
Pa1 Pa 0.125 0.125 0.125
Be1 Be 0.125 0.319 0.625
Co1 Co 0.125 0.125 0.519
```

Calculated values
energy of formation from the pure elements: -298 meV per atom



20.
An optimized crystal structure of PaBeCo2. Source: Alexandria, functional PBE.

The structure in CIF format:
```
data_PaBeCo2
_chemical_formula_sum 'Pa1 Be1 Co2'
_symmetry_space_group_name_H-M 'P 4/m m m'
_symmetry_Int_Tables_number 123
_symmetry_space_group_name_Hall '-P 4 2'
_cell_length_a 2.863
_cell_length_b 2.863
_cell_length_c 6.375
_cell_angle_alpha 90.00
_cell_angle_beta 90.00
_cell_angle_gamma 90.00
loop_
_atom_site_label
_atom_site_type_symbol
_atom_site_fract_x
_atom_site_fract_y
_atom_site_fract_z
Pa1 Pa 0.000 0.000 0.000
Be1 Be 0.000 0.000 0.500
Co1 Co 0.500 0.500 0.312
```

Calculated values
energy of formation from the pure elements: -128 meV per atom



| no. | mass density (g/cm3) |
| --- | --- |
| 1 | 3.5 |
| 2 | 7.7 |
| 3 | 6.0 |
| 4 | 9.2 |
| 5 | 4.5 |
| 6 | 4.6 |
| 7 | 2.8 |
| 8 | 10.8 |
| 9 | 11.4 |
| 10 | 11.5 |
| 11 | 10.7 |
| 12 | 11.2 |
| 13 | 10.3 |
| 14 | 11.6 |
| 15 | 8.3 |
| 16 | 10.5 |
| 17 | 10.6 |
| 18 | 10.4 |
| 19 | 9.3 |
| 20 | 11.4 |